Record 1
VASP calculation (PBE) on a relaxed structure of Mg2CrW.

a = 2.7533 Å, b = 4.2675 Å, c = 5.7626 Å
α = 90.00°, β = 102.21°, γ = 90.00°
With the nearest neighbours (Å) after each atom.
Space group Pm (No. 6)
One atom of each set of equivalent atoms:
Mg1 0.0000 0.0000 0.0000 x1  1 Cr 2.75, 6 Mg 2.75-3.08, 4 W 2.86-3.08
Mg2 0.2957 0.5000 0.7294 x1  6 Mg 2.75-3.08, 2 Cr 2.79, 1 W 2.80
Cr1 0.5331 0.0000 0.4611 x1  2 W 2.49, 1 Mg 2.75, 2 Cr 2.75
W1 0.7052 0.5000 0.2706 x1  2 Cr 2.49, 2 W 2.75

Output
* DFT formation energy: 0.413 eV/atom
* distance to the lowest polymorph of the same formula: 124 meV per atom



Record 2
VASP calculation (PBE) on a relaxed structure of Mg2CrW.

a = 3.1694 Å, b = 4.7961 Å, c = 9.0507 Å
α = 90.00°, β = 90.00°, γ = 90.00°
With the nearest neighbours (Å) after each atom.
Space group Imm2 (No. 44)
One atom of each set of equivalent atoms:
Mg1 0.0000 0.0000 0.0000 x2  2 Cr 2.85, 4 W 2.91, 6 Mg 2.93-3.17
Mg2 0.0000 0.5000 0.2283 x2  4 Cr 2.89, 6 Mg 2.93-3.17, 4 W 2.98-3.12
Cr1 0.0000 0.5000 0.7619 x2  2 W 2.32
W1 0.0000 0.0000 0.4492 x2  2 Cr 2.32

Output
* DFT formation energy: 0.466 eV/atom
* distance to the lowest polymorph of the same formula: 177 meV per atom



Record 3
VASP calculation (PBE) on a relaxed structure of Mg2CrW.

a = 3.3750 Å, b = 4.1473 Å, c = 9.2355 Å
α = 90.00°, β = 90.00°, γ = 90.00°
With the nearest neighbours (Å) after each atom.
Space group Cmmm (No. 65)
One atom of each set of equivalent atoms:
Mg1 0.0000 0.0000 0.2411 x4  4 Mg 2.67, 2 Cr 2.79, 2 W 2.93
Cr1 0.0000 0.5000 0.0000 x2  4 Cr 2.67, 4 Mg 2.79
W1 0.0000 0.5000 0.5000 x2  4 W 2.67, 4 Mg 2.93

Output
* DFT formation energy: 0.541 eV/atom
* distance to the lowest polymorph of the same formula: 252 meV per atom



Record 4
VASP calculation (PBE) on a relaxed structure of Mg14CrW.

a = 6.2368 Å, b = 6.2368 Å, c = 10.0061 Å
α = 90.00°, β = 90.00°, γ = 120.00°
With the nearest neighbours (Å) after each atom.
Space group P-6m2 (No. 187)
One atom of each set of equivalent atoms:
Mg1 0.0000 0.0000 0.2484 x2  12 Mg 3.08-3.12
Mg2 0.0153 0.5076 0.2561 x6  10 Mg 2.98-3.26, 1 W 2.98, 1 Cr 3.09
Mg3 0.3338 0.1669 0.5000 x3  10 Mg 3.06-3.12, 2 W 3.12
Mg4 0.3367 0.1684 0.0000 x3  10 Mg 3.08-3.15, 2 Cr 3.12
Cr1 0.3333 0.6667 0.0000 x1  12 Mg 3.09-3.12
W1 0.3333 0.6667 0.5000 x1  12 Mg 2.98-3.12

Output
* DFT formation energy: 0.203 eV/atom
* distance to the lowest polymorph of the same formula: 10 meV per atom



Record 5
VASP calculation (PBE) on a relaxed structure of MgCr4W.

a = 6.8402 Å, b = 6.8402 Å, c = 6.8402 Å
α = 90.00°, β = 90.00°, γ = 90.00°
With the nearest neighbours (Å) after each atom.
Space group F-43m (No. 216)
One atom of each set of equivalent atoms:
Mg1 0.0000 0.0000 0.0000 x4  12 Cr 2.83, 4 W 2.96
Cr1 0.1256 0.1256 0.3744 x16  6 Cr 2.41-2.43
W1 0.2500 0.2500 0.7500 x4  12 Cr 2.84, 4 Mg 2.96

Output
* DFT formation energy: 0.147 eV/atom



Record 6
VASP calculation (PBE) on a relaxed structure of Mg6CrW.

a = 4.7414 Å, b = 5.9400 Å, c = 10.9750 Å
α = 90.00°, β = 90.00°, γ = 90.00°
With the nearest neighbours (Å) after each atom.
Space group Amm2 (No. 38)
One atom of each set of equivalent atoms:
Mg1 0.0000 0.0000 0.0000 x2  10 Mg 2.92-3.14, 2 Cr 2.98
Mg2 0.0000 0.2385 0.2515 x4  8 Mg 2.83-3.14, 1 Cr 2.84, 2 W 3.04
Mg3 0.5000 0.0000 0.8445 x2  10 Mg 2.92-3.16, 2 W 2.98
Mg4 0.5000 0.2450 0.5972 x4  8 Mg 2.91-3.16, 1 W 2.91, 2 Cr 3.08
Cr1 0.0000 0.0000 0.4761 x2  2 W 2.65, 2 Mg 2.84
W1 0.5000 0.0000 0.3675 x2  2 Cr 2.65, 2 Mg 2.91

Output
* DFT formation energy: 0.333 eV/atom
* distance to the lowest polymorph of the same formula: 0 meV per atom



Record 7
VASP calculation (PBE) on a relaxed structure of Mg3CrW.

a = 5.1976 Å, b = 5.1976 Å, c = 5.1976 Å
α = 90.00°, β = 90.00°, γ = 90.00°
With the nearest neighbours (Å) after each atom.
Space group Pm-3m (No. 221)
One atom of each set of equivalent atoms:
Mg1 0.0000 0.0000 0.5000 x3  2 W 2.60
Cr1 0.5000 0.5000 0.5000 x1  12 Mg 3.68
W1 0.0000 0.0000 0.0000 x1  6 Mg 2.60

Output
* DFT formation energy: 1.631 eV/atom
* distance to the lowest polymorph of the same formula: 0 meV per atom



Record 8
VASP calculation (PBE) on a relaxed structure of Mg3CrW.

a = 4.7981 Å, b = 4.7981 Å, c = 4.7981 Å
α = 90.00°, β = 90.00°, γ = 90.00°
With the nearest neighbours (Å) after each atom.
Space group Pm-3m (No. 221)
One atom of each set of equivalent atoms:
Mg1 0.0000 0.0000 0.5000 x3  2 Cr 2.40
Cr1 0.0000 0.0000 0.0000 x1  6 Mg 2.40
W1 0.5000 0.5000 0.5000 x1  12 Mg 3.39

Output
* DFT formation energy: 1.864 eV/atom
* distance to the lowest polymorph of the same formula: 232 meV per atom



Record 9
VASP calculation (PBE) on a relaxed structure of Mg4CrW.

a = 7.6981 Å, b = 7.6981 Å, c = 7.6981 Å
α = 90.00°, β = 90.00°, γ = 90.00°
With the nearest neighbours (Å) after each atom.
Space group F-43m (No. 216)
One atom of each set of equivalent atoms:
Mg1 0.1250 0.1250 0.1250 x16  6 Mg 2.72
Cr1 0.0000 0.0000 0.5000 x4  12 Mg 3.19, 4 W 3.33
W1 0.2500 0.2500 0.7500 x4  12 Mg 3.19, 4 Cr 3.33

Output
* DFT formation energy: 0.733 eV/atom



Record 10
VASP calculation (PBE) on a relaxed structure of MgCrW.

a = 3.1035 Å, b = 4.5386 Å, c = 13.4637 Å
α = 90.00°, β = 90.00°, γ = 90.00°
With the nearest neighbours (Å) after each atom.
Space group Fmm2 (No. 42)
One atom of each set of equivalent atoms:
Mg1 0.0000 0.0000 0.0000 x4  4 Mg 2.75, 2 Cr 2.78, 2 W 2.94
Cr1 0.0000 0.0000 0.3283 x4  2 W 2.47, 4 Cr 2.75
W1 0.0000 0.0000 0.6853 x4  2 Cr 2.47, 4 W 2.75

Output
* DFT formation energy: 0.387 eV/atom
* distance to the lowest polymorph of the same formula: 3 meV per atom



Record 11
VASP calculation (PBE) on a relaxed structure of MgCrW.

a = 2.6226 Å, b = 2.6226 Å, c = 13.6018 Å
α = 90.00°, β = 90.00°, γ = 90.00°
With the nearest neighbours (Å) after each atom.
Space group I4mm (No. 107)
One atom of each set of equivalent atoms:
Mg1 0.0000 0.0000 0.0000 x2  4 Mg 2.62, 4 Cr 2.89
Cr1 0.0000 0.0000 0.3374 x2  4 Cr 2.62, 4 W 2.87, 4 Mg 2.89
W1 0.0000 0.0000 0.6762 x2  4 W 2.62, 4 Cr 2.87

Output
* DFT formation energy: 0.604 eV/atom
* distance to the lowest polymorph of the same formula: 220 meV per atom



Record 12
VASP calculation (PBE) on a relaxed structure of Mg2CrW.

a = 3.7712 Å, b = 3.7712 Å, c = 9.1741 Å
α = 90.00°, β = 90.00°, γ = 90.00°
With the nearest neighbours (Å) after each atom.
Space group I4/mmm (No. 139)
One atom of each set of equivalent atoms:
Mg1 0.0000 0.5000 0.2500 x4  4 Mg 2.67, 4 Cr 2.97, 4 W 2.97
Cr1 0.0000 0.0000 0.0000 x2  4 W 2.67, 8 Mg 2.97
W1 0.0000 0.0000 0.5000 x2  4 Cr 2.67, 8 Mg 2.97

Output
* DFT formation energy: 0.539 eV/atom
* distance to the lowest polymorph of the same formula: 250 meV per atom



Record 13
VASP calculation (PBE) on a relaxed structure of Mg14CrW.

a = 10.0919 Å, b = 6.1246 Å, c = 10.8989 Å
α = 90.00°, β = 90.00°, γ = 90.00°
With the nearest neighbours (Å) after each atom.
Space group Amm2 (No. 38)
One atom of each set of equivalent atoms:
Mg1 0.0000 0.0000 0.0000 x2  12 Mg 3.06-3.21
Mg2 0.0000 0.0000 0.4989 x2  12 Mg 3.06-3.23
Mg3 0.0000 0.2493 0.2510 x4  12 Mg 3.05-3.25
Mg4 0.2549 0.0000 0.6607 x4  1 Cr 3.02, 11 Mg 3.06-3.19
Mg5 0.2594 0.0000 0.1595 x4  1 W 2.95, 11 Mg 3.03-3.23
Mg6 0.2664 0.2463 0.9187 x8  1 W 2.95, 1 Cr 2.97, 10 Mg 2.99-3.25
Mg7 0.5000 0.2500 0.2505 x4  8 Mg 2.99-3.07, 2 W 3.08-3.17, 2 Cr 3.11-3.14
Cr1 0.5000 0.0000 0.5021 x2  10 Mg 2.97-3.14, 2 W 3.06
W1 0.5000 0.0000 0.0055 x2  10 Mg 2.95-3.17, 2 Cr 3.06

Output
* DFT formation energy: 0.193 eV/atom
* distance to the lowest polymorph of the same formula: 0 meV per atom



Record 14
VASP calculation (PBE) on a relaxed structure of Mg2CrW.

a = 3.2268 Å, b = 4.2637 Å, c = 4.7169 Å
α = 90.00°, β = 90.00°, γ = 90.00°
With the nearest neighbours (Å) after each atom.
Space group Pmmm (No. 47)
One atom of each set of equivalent atoms:
Mg1 0.0000 0.0000 0.0000 x1  4 Mg 2.67, 4 W 2.86
Mg2 0.5000 0.5000 0.0000 x1  4 Mg 2.67, 4 Cr 2.86
Cr1 0.0000 0.5000 0.5000 x1  4 W 2.67, 4 Mg 2.86
W1 0.5000 0.0000 0.5000 x1  4 Cr 2.67, 4 Mg 2.86

Output
* DFT formation energy: 0.510 eV/atom
* distance to the lowest polymorph of the same formula: 222 meV per atom



Record 15
VASP calculation (PBE) on a relaxed structure of Mg2CrW.

a = 2.9136 Å, b = 2.9136 Å, c = 29.0128 Å
α = 90.00°, β = 90.00°, γ = 120.00°
With the nearest neighbours (Å) after each atom.
Space group R-3m (No. 166, hexagonal axes)
One atom of each set of equivalent atoms:
Mg1 0.0000 0.0000 0.2500 x6  6 Mg 2.91, 3 W 2.94, 3 Cr 2.95
Cr1 0.0000 0.0000 0.0000 x3  6 Cr 2.91, 6 Mg 2.95
W1 0.0000 0.0000 0.5000 x3  6 W 2.91, 6 Mg 2.94

Output
* DFT formation energy: 0.629 eV/atom
* distance to the lowest polymorph of the same formula: 340 meV per atom



Record 16
VASP calculation (PBE) on a relaxed structure of MgCrW.

a = 6.0839 Å, b = 6.0839 Å, c = 6.0839 Å
α = 90.00°, β = 90.00°, γ = 90.00°
With the nearest neighbours (Å) after each atom.
Space group F-43m (No. 216)
One atom of each set of equivalent atoms:
Mg1 0.0000 0.0000 0.0000 x4  4 W 2.63
Cr1 0.0000 0.0000 0.5000 x4  4 W 2.63
W1 0.2500 0.2500 0.7500 x4  4 Cr 2.63, 4 Mg 2.63

Output
* DFT formation energy: 1.301 eV/atom
* distance to the lowest polymorph of the same formula: 916 meV per atom



Record 17
VASP calculation (PBE) on a relaxed structure of Mg2CrW.

a = 3.1675 Å, b = 3.1675 Å, c = 6.9665 Å
α = 90.00°, β = 90.00°, γ = 90.00°
With the nearest neighbours (Å) after each atom.
Space group P4mm (No. 99)
One atom of each set of equivalent atoms:
Mg1 0.0000 0.0000 0.0000 x1  4 Cr 2.90, 1 W 2.93, 8 Mg 3.08-3.17
Mg2 0.5000 0.5000 0.3031 x1  4 W 2.95, 1 Cr 3.01, 8 Mg 3.08-3.17
Cr1 0.5000 0.5000 0.7351 x1  4 W 2.49
W1 0.0000 0.0000 0.5795 x1  4 Cr 2.49

Output
* DFT formation energy: 0.289 eV/atom
* distance to the lowest polymorph of the same formula: 0 meV per atom



Record 18
VASP calculation (PBE) on a relaxed structure of Mg6CrW.

a = 4.9081 Å, b = 5.8165 Å, c = 10.8664 Å
α = 90.00°, β = 90.00°, γ = 90.00°
With the nearest neighbours (Å) after each atom.
Space group Amm2 (No. 38)
One atom of each set of equivalent atoms:
Mg1 0.0000 0.0000 0.0000 x2  10 Mg 2.91-3.23, 2 W 2.92
Mg2 0.0000 0.0000 0.4975 x2  10 Mg 2.91-3.22, 2 Cr 2.94
Mg3 0.0000 0.2427 0.7634 x4  6 Mg 2.82-3.01, 2 W 3.00, 2 Cr 3.02
Mg4 0.5000 0.2500 0.1032 x4  8 Mg 2.91-3.07, 2 Cr 3.04-3.12, 2 W 3.07-3.10
Cr1 0.5000 0.0000 0.3492 x2  2 W 2.91, 10 Mg 2.94-3.12
W1 0.5000 0.0000 0.8548 x2  2 Cr 2.91, 10 Mg 2.92-3.10

Output
* DFT formation energy: 0.389 eV/atom
* distance to the lowest polymorph of the same formula: 56 meV per atom



Record 19
VASP calculation (PBE) on a relaxed structure of Mg2CrW.

a = 6.3880 Å, b = 6.3880 Å, c = 6.3880 Å
α = 90.00°, β = 90.00°, γ = 90.00°
With the nearest neighbours (Å) after each atom.
Space group Fm-3m (No. 225)
One atom of each set of equivalent atoms:
Mg1 0.2500 0.2500 0.2500 x8  4 Cr 2.77, 4 W 2.77
Cr1 0.0000 0.0000 0.0000 x4  8 Mg 2.77
W1 0.0000 0.0000 0.5000 x4  8 Mg 2.77

Output
* DFT formation energy: 1.066 eV/atom
* distance to the lowest polymorph of the same formula: 778 meV per atom



Record 20
VASP calculation (PBE) on a relaxed structure of MgCrW.

a = 2.6089 Å, b = 4.4160 Å, c = 7.9213 Å
α = 90.00°, β = 90.00°, γ = 90.00°
With the nearest neighbours (Å) after each atom.
Space group Imm2 (No. 44)
One atom of each set of equivalent atoms:
Mg1 0.0000 0.0000 0.0000 x2  2 Mg 2.61, 5 Cr 2.67-2.87, 5 W 2.68-2.87
Cr1 0.0000 0.0000 0.3373 x2  1 W 2.57, 2 Cr 2.61, 5 Mg 2.67-2.87
W1 0.0000 0.0000 0.6618 x2  1 Cr 2.57, 2 W 2.61, 5 Mg 2.68-2.87

Output
* DFT formation energy: 0.521 eV/atom
* distance to the lowest polymorph of the same formula: 136 meV per atom